This record from the Alexandria database describes a geometry-optimized ReTc2Pd structure. The functional is PBE.

Cell: 2.749 2.749 9.218 Å, 81.43 81.43 60.00°
Fractional coordinates of all 4 atoms:
Tc: 0.252 0.252 0.245
Pd: 0.500 0.500 0.500
Tc: 0.748 0.748 0.755
Re: 0.000 0.000 0.000

Values from the calculation:
Distance to the lowest polymorph of the same formula (meV/atom): 0
VASP energy (eV/atom): -9.536
Calculated formation energy (eV per atom): 0.058
Total magnetization (μB per atom): 0.0000

***

This record from the Alexandria database describes a geometry-optimized Re2TcPd structure. The functional is PBE.

Cell: 4.403 4.403 4.403 Å, 60.00 60.00 60.00°
Fractional coordinates of all 4 atoms:
Tc: 0.000 0.000 0.000
Pd: 0.500 0.500 0.500
Re: 0.750 0.750 0.750
Re: 0.250 0.250 0.250

Values from the calculation:
Distance to the lowest polymorph of the same formula (meV/atom): 392
VASP energy (eV/atom): -9.657
Calculated formation energy (eV per atom): 0.457
Total magnetization (μB per atom): 0.0000

***

This record from the Alexandria database describes a geometry-optimized ReTc2Pd structure. The functional is PBE.

Cell: 4.390 4.390 4.390 Å, 60.00 60.00 60.00°
Fractional coordinates of all 4 atoms:
Tc: 0.250 0.250 0.250
Tc: 0.750 0.750 0.750
Pd: 0.000 0.000 0.000
Re: 0.500 0.500 0.500

Values from the calculation:
Distance to the lowest polymorph of the same formula (meV/atom): 232
VASP energy (eV/atom): -9.304
Calculated formation energy (eV per atom): 0.289
Total magnetization (μB per atom): 0.0000

***

This record from the Alexandria database describes a geometry-optimized Re3TcPd structure. The functional is PBE.

Cell: 4.629 4.629 4.629 Å, 90.00 90.00 90.00°
Fractional coordinates of all 5 atoms:
Re: 0.500 0.000 0.000
Pd: 0.500 0.500 0.500
Re: 0.000 0.000 0.500
Re: 0.000 0.500 0.000
Tc: 0.000 0.000 0.000

Values from the calculation:
Distance to the lowest polymorph of the same formula (meV/atom): 0
VASP energy (eV/atom): -8.468
Calculated formation energy (eV per atom): 2.113
Total magnetization (μB per atom): 0.0000